[1]
The following is a DFT calculation (PBE) of a geometry-optimized BaCdTeO6 structure.

Cell and atoms, written as POSCAR:
```
BaCdTeO6
1.0
-1.441 1.405 -5.259
3.222 -1.610 -4.328
-3.011 -4.798 -0.456
O Cd Te Ba
6 1 1 1
direct
0.040 0.600 0.700 O
0.359 0.041 0.700 O
0.360 0.600 0.300 O
0.041 0.360 0.300 O
0.600 0.360 0.700 O
0.600 0.041 0.300 O
0.667 0.667 0.500 Cd
0.333 0.333 0.500 Te
0.000 0.000 0.000 Ba
```

Output
- space-group type = No. 149
- electronic total energy (eV per cell) = -47.1

[2]
The following is a DFT calculation (PBE) of a geometry-optimized Zr3MnBr structure.

Cell and atoms, written as POSCAR:
```
Zr3MnBr
1.0
-2.435 -4.259 -0.090
4.178 -2.367 -1.009
0.832 -0.577 4.801
Zr Mn Br
3 1 1
direct
0.500 0.000 0.000 Zr
0.000 0.000 0.500 Zr
0.000 0.500 0.000 Zr
0.000 0.000 0.000 Mn
0.500 0.500 0.500 Br
```

Output
- space-group type = No. 221
- distance to the lowest polymorph of the same formula (eV per atom) = 0.000
- electronic total energy (eV per cell) = -34.7

no.,formation energy without anion corrections (eV per atom),size of the total moment (μB per cell)
1,-1.26,2.1
2,0.36,0.0